Material: Ge2P2Au
Method: DFT, PBE-GGA
State: relaxed

a b c (Å): 8.670 8.670 8.670
angles (deg): 157.88 157.88 31.48
Element x y z (fractional)
Ge1 0.099 0.099 0.000
Ge2 0.901 0.901 0.000
P1 0.250 0.750 0.500
P2 0.750 0.250 0.500
Au1 0.500 0.500 0.000

Properties
- Relative energy among the computed polymorphs: 0.000 eV per atom
- Space group: I4/mmm, No. 139
- E_tot: -4.372 eV per atom
- Spin magnetization: 0.00 μB per atom